1 | ## PbAu17 (PBE)

Data for crystalline PbAu17 at its relaxed geometry. Values from VASP.

Geometry as Quantum ESPRESSO input:
```
&SYSTEM
  ibrav = 0, nat = 72, ntyp = 2
/
ATOMIC_SPECIES
Pb 207.20 Pb.upf
Au 196.97 Au.upf
CELL_PARAMETERS angstrom
10.0896 0.0000 0.0000
0.0000 5.8586 0.0000
-0.1630 0.0000 33.2603
ATOMIC_POSITIONS angstrom
Pb 0.0000 0.0000 0.0000
Pb -0.0718 2.9293 32.2550
Pb 1.5586 0.0000 20.4103
Pb 6.6049 0.0000 20.3828
Au 0.7795 1.4846 2.5534
Au 0.7795 4.3740 2.5534
Au 0.7507 1.4627 9.8900
Au 0.7507 4.3959 9.8900
Au 0.7471 1.4362 17.1654
Au 0.7471 4.4224 17.1654
Au 1.5909 2.9293 5.0299
Au 1.5964 0.0000 5.0398
Au 1.5910 0.0000 12.3150
Au 1.5934 2.9293 12.3085
Au 1.5653 2.9293 19.5766
Au 2.4323 1.4658 7.4628
Au 2.4323 4.3928 7.4628
Au 2.4277 1.4605 14.7272
Au 2.4277 4.3981 14.7272
Au 2.6105 1.4925 0.1455
Au 2.6105 4.3661 0.1455
Au 3.2947 0.0000 2.6261
Au 3.2652 0.0000 9.8980
Au 3.2384 0.0000 17.2015
Au 3.3056 2.9293 2.6472
Au 3.2675 2.9293 9.8863
Au 3.2554 2.9293 17.1225
Au 4.1248 1.4593 5.0501
Au 4.1248 4.3993 5.0501
Au 4.1140 1.4649 12.3087
Au 4.0822 1.4826 19.5960
Au 4.0822 4.3760 19.5960
Au 4.1140 4.3937 12.3087
Au 4.9568 0.0000 7.4788
Au 4.9567 2.9293 7.4621
Au 4.9445 0.0000 14.7335
Au 4.9528 2.9293 14.7380
Au 5.0667 0.0000 0.1521
Au 5.0615 2.9293 0.1374
Au 5.7948 1.4677 9.8917
Au 5.7948 4.3909 9.8917
Au 5.8356 1.4666 2.6459
Au 5.8356 4.3920 2.6459
Au 5.7884 1.4377 17.1676
Au 5.7884 4.4209 17.1676
Au 6.6468 0.0000 5.0584
Au 6.6538 2.9293 5.0464
Au 6.6341 0.0000 12.3086
Au 6.6370 2.9293 12.3199
Au 6.6103 2.9293 19.5743
Au 7.4776 1.4645 7.4690
Au 7.5208 1.4993 0.1582
Au 7.5208 4.3593 0.1582
Au 7.4776 4.3941 7.4690
Au 7.4740 1.4587 14.7310
Au 7.4740 4.3999 14.7310
Au 8.3154 0.0000 9.8969
Au 8.2822 0.0000 17.2082
Au 8.3128 2.9293 9.8903
Au 8.3659 0.0000 2.6308
Au 8.3010 2.9293 17.1270
Au 8.4014 2.9293 2.5759
Au 9.1760 1.4701 5.0405
Au 9.1760 4.3885 5.0405
Au 9.1589 1.4670 12.3073
Au 9.1589 4.3916 12.3073
Au 9.1371 1.4828 19.5955
Au 9.1371 4.3758 19.5955
Au 10.0014 0.0000 7.4613
Au 10.0025 2.9293 7.4717
Au 9.9856 0.0000 14.7303
Au 9.9965 2.9293 14.7360
```

The mass density comes out at 12.012 g cm⁻³. Its space-group type is Pm.

---

2 | ## PbAu17 (PBE)

Data for crystalline PbAu17 at its relaxed geometry. Values from VASP.

Geometry as Quantum ESPRESSO input:
```
&SYSTEM
  ibrav = 0, nat = 36, ntyp = 2
/
ATOMIC_SPECIES
Pb 207.20 Pb.upf
Au 196.97 Au.upf
CELL_PARAMETERS angstrom
5.8060 0.0000 0.0000
-2.9030 5.0282 0.0000
0.0000 0.0000 33.8730
ATOMIC_POSITIONS angstrom
Pb 0.0000 3.3521 10.6466
Pb 2.9030 1.6761 23.2265
Au 0.0000 0.0000 0.0000
Au 0.0000 0.0000 7.2778
Au 0.0000 0.0000 26.5953
Au -1.4515 2.5141 0.0000
Au -1.4337 2.5243 7.3013
Au 0.0000 1.6742 4.8470
Au -1.4531 4.1911 4.8470
Au 0.0000 1.6768 31.4550
Au 0.0000 1.6776 24.1435
Au -1.4502 4.1894 24.1435
Au -1.4509 4.1898 31.4550
Au 1.4499 0.8371 29.0260
Au 1.4521 0.8384 2.4180
Au 0.0000 3.3521 2.4245
Au 0.0000 3.3521 29.0169
Au 1.4529 0.8388 9.7296
Au 1.4337 2.5243 7.3013
Au 0.0000 5.0077 7.3013
Au 2.9030 0.0000 0.0000
Au 1.4515 2.5141 0.0000
Au 2.9030 0.0205 26.5717
Au 1.4693 2.5038 26.5717
Au 1.4501 4.1894 24.1435
Au 2.9030 1.6761 4.8561
Au 2.9030 1.6761 31.4485
Au 1.4509 4.1898 31.4550
Au 1.4531 4.1911 4.8470
Au 4.3539 0.8384 2.4180
Au 4.3532 0.8388 9.7296
Au 2.9030 3.3505 9.7296
Au 2.9030 3.3514 2.4180
Au 4.3561 0.8371 29.0260
Au 2.9030 3.3540 29.0260
Au 4.3368 2.5038 26.5717
```

The mass density comes out at 11.941 g cm⁻³. Its space-group type is P-3m1.

---

Stability check: which of them is least stable? 1.